(1)
Below is a geometry-optimized SrScGa2 structure, with properties calculated at the PBE-GGA level.

Unit cell a=5.0457 b=5.0457 c=19.1328 alpha=90.00 beta=90.00 gamma=90.00
Space group I-42d (No. 122)
One atom of each set of equivalent atoms:
Sr 0.0000 0.0000 0.0000
Sc 0.0000 0.0000 0.5000
Ga 0.1160 0.2500 0.6250

Summary:
ΔE_f, eV per atom: 0.0256
Spin magnetization, Bohr magnetons per cell: 0.00
Total DFT energy (no corrections), eV for the cell shown: -55.859
Fermi-level density of states, states/eV per atom: 1.05
Volume, Å³/cell: 487.1

(2)
Below is a geometry-optimized SrSc3Ga structure, with properties calculated at the PBE-GGA level.

Unit cell a=5.3116 b=5.3116 c=5.3116 alpha=90.00 beta=90.00 gamma=90.00
Space group Pm-3m (No. 221)
One atom of each set of equivalent atoms:
Sr 0.0000 0.0000 0.0000
Sc 0.0000 0.5000 0.5000
Ga 0.5000 0.5000 0.5000

Summary:
ΔE_f, eV per atom: 0.0930
Spin magnetization, Bohr magnetons per cell: 0.00
Total DFT energy (no corrections), eV for the cell shown: -23.238
Fermi-level density of states, states/eV per atom: 1.81
Volume, Å³/cell: 149.9
Energy relative to the lowest polymorph listed for this composition, eV/atom: 0.000

(3)
Below is a geometry-optimized SrScTi2Ga structure, with properties calculated at the PBE-GGA level.

Unit cell a=5.0415 b=5.0415 c=5.2304 alpha=90.00 beta=90.00 gamma=90.00
Space group P4/mmm (No. 123)
One atom of each set of equivalent atoms:
Sr 0.0000 0.0000 0.0000
Sc 0.5000 0.5000 0.0000
Ti 0.0000 0.5000 0.5000
Ga 0.5000 0.5000 0.5000

Summary:
ΔE_f, eV per atom: 0.4324
Spin magnetization, Bohr magnetons per cell: 3.37
Total DFT energy (no corrections), eV for the cell shown: -24.668
Fermi-level density of states, states/eV per atom: 1.68
Volume, Å³/cell: 132.9

(4)
Below is a geometry-optimized SrScTlGa structure, with properties calculated at the PBE-GGA level.

Unit cell a=7.4910 b=7.4910 c=7.4910 alpha=90.00 beta=90.00 gamma=90.00
Space group F-43m (No. 216)
One atom of each set of equivalent atoms:
Sr 0.0000 0.0000 0.0000
Sc 0.0000 0.0000 0.5000
Tl 0.2500 0.2500 0.2500
Ga 0.2500 0.2500 0.7500

Summary:
ΔE_f, eV per atom: -0.2634
Spin magnetization, Bohr magnetons per cell: 0.00
Total DFT energy (no corrections), eV for the cell shown: -57.841
Fermi-level density of states, states/eV per atom: 0.72
Volume, Å³/cell: 420.4

(5)
Below is a geometry-optimized SrYSc2Ga structure, with properties calculated at the PBE-GGA level.

Unit cell a=5.1726 b=5.1726 c=5.5352 alpha=90.00 beta=90.00 gamma=90.00
Space group P4/mmm (No. 123)
One atom of each set of equivalent atoms:
Sr 0.0000 0.0000 0.0000
Y 0.5000 0.5000 0.5000
Sc 0.0000 0.5000 0.0000
Ga 0.0000 0.0000 0.5000

Summary:
ΔE_f, eV per atom: 0.9838
Spin magnetization, Bohr magnetons per cell: 0.00
Total DFT energy (no corrections), eV for the cell shown: -18.917
Fermi-level density of states, states/eV per atom: 1.24
Volume, Å³/cell: 148.1

(6)
Below is a geometry-optimized SrScZnGa2 structure, with properties calculated at the PBE-GGA level.

Unit cell a=5.2385 b=5.2385 c=6.3533 alpha=90.00 beta=90.00 gamma=90.00
Space group P4/mmm (No. 123)
One atom of each set of equivalent atoms:
Sr 0.0000 0.0000 0.0000
Sc 0.0000 0.0000 0.5000
Zn 0.5000 0.5000 0.0000
Ga 0.0000 0.5000 0.5000

Summary:
ΔE_f, eV per atom: 0.5626
Spin magnetization, Bohr magnetons per cell: 1.46
Total DFT energy (no corrections), eV for the cell shown: -12.528
Fermi-level density of states, states/eV per atom: 0.95
Volume, Å³/cell: 174.3

(7)
Below is a geometry-optimized SrScZn2Ga2 structure, with properties calculated at the PBE-GGA level.

Unit cell a=4.4250 b=4.4250 c=7.5428 alpha=90.00 beta=90.00 gamma=120.00
Space group P-3m1 (No. 164)
One atom of each set of equivalent atoms:
Sr 0.0000 0.0000 0.0000
Sc 0.0000 0.0000 0.5000
Zn 0.3333 0.6667 0.6895
Ga 0.3333 0.6667 0.3024

Summary:
ΔE_f, eV per atom: -0.4757
Spin magnetization, Bohr magnetons per cell: 0.00
Total DFT energy (no corrections), eV for the cell shown: -19.469
Fermi-level density of states, states/eV per atom: 0.55
Volume, Å³/cell: 127.9

(8)
Below is a geometry-optimized Sc2TaGa2 structure, with properties calculated at the PBE-GGA level.

Unit cell a=7.9956 b=7.9956 c=2.9651 alpha=90.00 beta=90.00 gamma=90.00
Space group P4/mbm (No. 127)
One atom of each set of equivalent atoms:
Sc 0.1254 0.3746 0.0000
Ta 0.0000 0.0000 0.0000
Ga 0.1742 0.6742 0.5000

Summary:
ΔE_f, eV per atom: 0.0054
Spin magnetization, Bohr magnetons per cell: 1.66
Total DFT energy (no corrections), eV for the cell shown: -61.085
Fermi-level density of states, states/eV per atom: 0.86
Volume, Å³/cell: 189.6
Energy relative to the lowest polymorph listed for this composition, eV/atom: 0.321

Which formula does entry 7 have?
SrScZn2Ga2

Look up the total DFT energy (no corrections) of the fifth one.
-18.917 eV for the cell shown